# 1
! CaYMn2 (meta-GGA SCAN, single point on PBEsol structure); values from VASP
&SYSTEM
  ibrav = 0, nat = 8, ntyp = 3
/
ATOMIC_SPECIES
Ca 40.08 Ca.upf
Y 88.91 Y.upf
Mn 54.94 Mn.upf
CELL_PARAMETERS angstrom
9.497 0.000 0.000
0.000 3.200 0.000
-1.213 0.000 6.204
ATOMIC_POSITIONS crystal
Ca 0.000 0.000 0.000
Ca 0.500 0.500 0.000
Y 0.000 0.500 0.500
Y 0.500 0.000 0.500
Mn 0.250 0.000 0.675
Mn 0.250 0.500 0.325
Mn 0.750 0.000 0.325
Mn 0.750 0.500 0.675
! - Energy relative to the elements: 347 meV/atom
! - V: 23.569 Å³ per atom
! - Space-group type: No. 12
! - Density: 4.21 Mg/m³



# 2
! CaYMn2 (meta-GGA SCAN, single point on PBEsol structure); values from VASP
&SYSTEM
  ibrav = 0, nat = 4, ntyp = 3
/
ATOMIC_SPECIES
Ca 40.08 Ca.upf
Y 88.91 Y.upf
Mn 54.94 Mn.upf
CELL_PARAMETERS angstrom
3.541 0.000 0.000
0.000 3.541 0.000
0.000 0.000 7.082
ATOMIC_POSITIONS crystal
Ca 0.000 0.000 0.000
Y 0.000 0.000 0.500
Mn 0.500 0.500 0.282
Mn 0.500 0.500 0.718
! - Energy relative to the elements: 60 meV/atom
! - V: 22.204 Å³ per atom
! - Space-group type: No. 123
! - Density: 4.47 Mg/m³



# 3
! CaYMn (meta-GGA SCAN, single point on PBEsol structure); values from VASP
&SYSTEM
  ibrav = 0, nat = 12, ntyp = 3
/
ATOMIC_SPECIES
Ca 40.08 Ca.upf
Y 88.91 Y.upf
Mn 54.94 Mn.upf
CELL_PARAMETERS angstrom
6.977 0.000 0.000
0.000 6.977 0.000
0.000 0.000 6.977
ATOMIC_POSITIONS crystal
Ca 0.000 0.000 0.000
Ca 0.000 0.500 0.500
Ca 0.500 0.000 0.500
Ca 0.500 0.500 0.000
Y 0.000 0.000 0.500
Y 0.000 0.500 0.000
Y 0.500 0.000 0.000
Y 0.500 0.500 0.500
Mn 0.250 0.250 0.250
Mn 0.250 0.750 0.750
Mn 0.750 0.250 0.750
Mn 0.750 0.750 0.250
! - Energy relative to the elements: 432 meV/atom
! - V: 28.303 Å³ per atom
! - Space-group type: No. 216
! - Density: 3.60 Mg/m³
! - Distance to the lowest polymorph of the same formula: 0.3969 eV/atom



# 4
! Ca2YMn2 (meta-GGA SCAN, single point on PBEsol structure); values from VASP
&SYSTEM
  ibrav = 0, nat = 10, ntyp = 3
/
ATOMIC_SPECIES
Ca 40.08 Ca.upf
Y 88.91 Y.upf
Mn 54.94 Mn.upf
CELL_PARAMETERS angstrom
3.195 0.000 0.000
0.000 3.195 0.000
0.000 0.000 22.524
ATOMIC_POSITIONS crystal
Ca 0.000 0.000 0.136
Ca 0.000 0.000 0.864
Ca 0.500 0.500 0.364
Ca 0.500 0.500 0.636
Y 0.000 0.000 0.500
Y 0.500 0.500 0.000
Mn 0.000 0.500 0.250
Mn 0.000 0.500 0.750
Mn 0.500 0.000 0.250
Mn 0.500 0.000 0.750
! - Energy relative to the elements: 600 meV/atom
! - V: 22.990 Å³ per atom
! - Space-group type: No. 139
! - Density: 4.03 Mg/m³



# 5
! CaY2Mn (meta-GGA SCAN, single point on PBEsol structure); values from VASP
&SYSTEM
  ibrav = 0, nat = 16, ntyp = 3
/
ATOMIC_SPECIES
Ca 40.08 Ca.upf
Y 88.91 Y.upf
Mn 54.94 Mn.upf
CELL_PARAMETERS angstrom
7.495 0.000 0.000
0.000 7.495 0.000
0.000 0.000 7.495
ATOMIC_POSITIONS crystal
Ca 0.000 0.000 0.000
Ca 0.000 0.500 0.500
Ca 0.500 0.000 0.500
Ca 0.500 0.500 0.000
Y 0.250 0.250 0.250
Y 0.250 0.250 0.750
Y 0.250 0.750 0.250
Y 0.250 0.750 0.750
Y 0.750 0.250 0.250
Y 0.750 0.250 0.750
Y 0.750 0.750 0.250
Y 0.750 0.750 0.750
Mn 0.000 0.000 0.500
Mn 0.000 0.500 0.000
Mn 0.500 0.000 0.000
Mn 0.500 0.500 0.500
! - Energy relative to the elements: 148 meV/atom
! - V: 26.310 Å³ per atom
! - Space-group type: No. 225
! - Density: 4.30 Mg/m³



# 6
! CaYMn (meta-GGA SCAN, single point on PBEsol structure); values from VASP
&SYSTEM
  ibrav = 0, nat = 6, ntyp = 3
/
ATOMIC_SPECIES
Ca 40.08 Ca.upf
Y 88.91 Y.upf
Mn 54.94 Mn.upf
CELL_PARAMETERS angstrom
3.495 0.000 0.000
0.000 3.495 0.000
0.000 0.000 12.964
ATOMIC_POSITIONS crystal
Ca 0.000 0.000 0.000
Ca 0.500 0.500 0.500
Y 0.000 0.000 0.726
Y 0.500 0.500 0.226
Mn 0.000 0.000 0.349
Mn 0.500 0.500 0.849
! - Energy relative to the elements: 35 meV/atom
! - V: 26.399 Å³ per atom
! - Space-group type: No. 107
! - Density: 3.86 Mg/m³
! - Distance to the lowest polymorph of the same formula: 0.0000 eV/atom



Number 1: total DFT energy (no corrections) -1.3346 Ry per atom. Number 2: total DFT energy (no corrections) -1.3556 Ry per atom. Number 3: total DFT energy (no corrections) -1.3344 Ry per atom. Number 4: total DFT energy (no corrections) -1.1860 Ry per atom. Number 5: total DFT energy (no corrections) -1.5253 Ry per atom. Number 6: total DFT energy (no corrections) -1.3636 Ry per atom.